(1)
Here is a relaxed structure of LiAl2Pb from Alexandria via LeMat-Bulk. Energies are from GGA-PBE.

abc: 5.6962 8.9447 3.2899
angles: 90.00 90.00 90.00
Positions (direct):
Li: 0.0000 0.0000 0.0000
Li: 0.5000 0.5000 0.0000
Al: 0.2500 0.2500 0.5000
Al: 0.2500 0.7500 0.5000
Al: 0.7500 0.2500 0.5000
Al: 0.7500 0.7500 0.5000
Pb: 0.0000 0.5000 0.0000
Pb: 0.5000 0.0000 0.0000

Calculated values
As for the crystal system: orthorhombic. The space-group type is No. 65.


(2)
Here is a relaxed structure of LiAl2Pb from Alexandria via LeMat-Bulk. Energies are from GGA-PBE.

abc: 4.4566 4.4566 8.3085
angles: 90.00 90.00 90.00
Positions (direct):
Li: 0.0000 0.0000 0.0000
Li: 0.5000 0.5000 0.5000
Al: 0.0000 0.0000 0.5000
Al: 0.0000 0.5000 0.2500
Al: 0.5000 0.0000 0.7500
Al: 0.5000 0.5000 0.0000
Pb: 0.0000 0.5000 0.7500
Pb: 0.5000 0.0000 0.2500

Calculated values
As for the crystal system: tetragonal. The space-group type is No. 119.


(3)
Here is a relaxed structure of LiAlPb from Alexandria via LeMat-Bulk. Energies are from GGA-PBE.

abc: 3.1620 4.6906 9.2794
angles: 95.30 92.15 100.05
Positions (direct):
Li: 0.0870 0.2162 0.2072
Li: 0.9130 0.7838 0.7928
Al: 0.3882 0.7422 0.0594
Al: 0.6118 0.2578 0.9406
Pb: 0.3668 0.2570 0.6218
Pb: 0.6332 0.7430 0.3782

Calculated values
As for the crystal system: triclinic. The space-group type is No. 2.


(4)
Here is a relaxed structure of LiAlPb from Alexandria via LeMat-Bulk. Energies are from GGA-PBE.

abc: 3.3334 4.9782 8.6674
angles: 76.43 79.25 72.90
Positions (direct):
Li: 0.0000 0.0000 0.0000
Li: 0.0000 0.5000 0.5000
Al: 0.3173 0.4915 0.8683
Al: 0.6827 0.5085 0.1317
Pb: 0.3749 0.9970 0.3099
Pb: 0.6251 0.0030 0.6901

Calculated values
As for the crystal system: triclinic. The space-group type is No. 2.


(5)
Here is a relaxed structure of LiAlPb from Alexandria via LeMat-Bulk. Energies are from GGA-PBE.

abc: 4.9115 3.2615 7.9736
angles: 90.00 95.10 90.00
Positions (direct):
Li: 0.2273 0.0000 0.3017
Li: 0.7727 0.0000 0.6983
Al: 0.0000 0.5000 0.0000
Al: 0.5000 0.0000 0.0000
Pb: 0.2683 0.5000 0.6678
Pb: 0.7317 0.5000 0.3322

Calculated values
As for the crystal system: monoclinic. The space-group type is No. 10.


(6)
Here is a relaxed structure of LiAlPb from Alexandria via LeMat-Bulk. Energies are from GGA-PBE.

abc: 8.1303 8.1303 8.1303
angles: 33.11 33.11 33.11
Positions (direct):
Li: 0.0636 0.0636 0.0636
Li: 0.9364 0.9364 0.9364
Al: 0.3261 0.3261 0.3261
Al: 0.6739 0.6739 0.6739
Pb: 0.1988 0.1988 0.1988
Pb: 0.8012 0.8012 0.8012

Calculated values
As for the crystal system: trigonal. The space-group type is No. 166.


(7)
Here is a relaxed structure of LiAlPb from Alexandria via LeMat-Bulk. Energies are from GGA-PBE.

abc: 4.3124 4.9530 7.2854
angles: 75.94 89.82 64.76
Positions (direct):
Li: 0.0000 0.0000 0.0000
Li: 0.2677 0.4628 0.8589
Al: 0.5301 0.9365 0.7279
Al: 0.8230 0.3551 0.6271
Pb: 0.0914 0.8227 0.4268
Pb: 0.7232 0.5479 0.1498

Calculated values
As for the crystal system: triclinic. The space-group type is No. 1.


(8)
Here is a relaxed structure of LiAl2Pb from Alexandria via LeMat-Bulk. Energies are from GGA-PBE.

abc: 4.0387 4.0387 21.1569
angles: 90.00 90.00 90.00
Positions (direct):
Li: 0.0000 0.0000 0.0000
Li: 0.0000 0.5000 0.2500
Li: 0.5000 0.0000 0.7500
Li: 0.5000 0.5000 0.5000
Al: 0.2378 0.2500 0.1250
Al: 0.2500 0.7378 0.3750
Al: 0.2500 0.7622 0.8750
Al: 0.2622 0.2500 0.6250
Al: 0.7378 0.7500 0.6250
Al: 0.7500 0.2378 0.8750
Al: 0.7500 0.2622 0.3750
Al: 0.7622 0.7500 0.1250
Pb: 0.0000 0.0000 0.5000
Pb: 0.0000 0.5000 0.7500
Pb: 0.5000 0.0000 0.2500
Pb: 0.5000 0.5000 0.0000

Calculated values
As for the crystal system: tetragonal. The space-group type is No. 122.


(9)
Here is a relaxed structure of LiAl2Pb from Alexandria via LeMat-Bulk. Energies are from GGA-PBE.

abc: 4.1419 4.1419 4.7239
angles: 90.00 90.00 90.00
Positions (direct):
Li: 0.0000 0.0000 0.0000
Al: 0.0000 0.5000 0.5000
Al: 0.5000 0.0000 0.5000
Pb: 0.5000 0.5000 0.0000

Calculated values
As for the crystal system: tetragonal. The space-group type is No. 123.


(10)
Here is a relaxed structure of LiAlPb from Alexandria via LeMat-Bulk. Energies are from GGA-PBE.

abc: 4.0931 4.0931 7.4648
angles: 90.00 90.00 90.00
Positions (direct):
Li: 0.2500 0.2500 0.2402
Li: 0.7500 0.7500 0.7598
Al: 0.2500 0.7500 0.5000
Al: 0.7500 0.2500 0.5000
Pb: 0.2500 0.2500 0.8385
Pb: 0.7500 0.7500 0.1615

Calculated values
As for the crystal system: tetragonal. The space-group type is No. 129.


no.,M_tot (μB per atom),total energy (eV/atom),formation energy (kJ/mol of formula units)
1,0.000,-3.176,39
2,0.000,-3.220,22
3,0.000,-3.147,-7
4,0.000,-3.154,-9
5,0.000,-3.188,-19
6,0.000,-3.169,-14
7,0.000,-3.131,-3
8,0.000,-3.139,53
9,0.000,-3.252,10
10,0.000,-3.162,-12